1.
# AlV5Si2, relaxed, DFT PBE-GGA
data_AlV5Si2
_cell_length_a 2.8694
_cell_length_b 6.5642
_cell_length_c 6.5642
_cell_angle_alpha 70.78
_cell_angle_beta 77.38
_cell_angle_gamma 77.38
_space_group_name_H-M_alt 'P 1'
_space_group_IT_number 1
loop_
_space_group_symop_operation_xyz
'x,y,z'
loop_
_atom_site_label
_atom_site_type_symbol
_atom_site_fract_x
_atom_site_fract_y
_atom_site_fract_z
Al1 Al 0.0000 0.0000 0.0000
V1 V 0.0000 0.5000 0.5000
V2 V 0.6245 0.5921 0.1590
V3 V 0.3755 0.4079 0.8410
V4 V 0.3755 0.8410 0.4079
V5 V 0.6245 0.1590 0.5921
Si1 Si 0.7476 0.7524 0.7524
Si2 Si 0.2524 0.2476 0.2476
# **Raw formation energy**: -0.161 eV/atom
# **Crystal system**: orthorhombic


2.
# AlCdPt5, relaxed, DFT PBE-GGA
data_AlCdPt5
_cell_length_a 4.0035
_cell_length_b 4.0035
_cell_length_c 7.2675
_cell_angle_alpha 90.00
_cell_angle_beta 90.00
_cell_angle_gamma 90.00
_space_group_name_H-M_alt 'P 1'
_space_group_IT_number 1
loop_
_space_group_symop_operation_xyz
'x,y,z'
loop_
_atom_site_label
_atom_site_type_symbol
_atom_site_fract_x
_atom_site_fract_y
_atom_site_fract_z
Al1 Al 0.5000 0.5000 0.0000
Cd1 Cd 0.0000 0.0000 0.5000
Pt1 Pt 0.0000 0.5000 0.7889
Pt2 Pt 0.0000 0.5000 0.2111
Pt3 Pt 0.5000 0.0000 0.7889
Pt4 Pt 0.5000 0.0000 0.2111
Pt5 Pt 0.5000 0.5000 0.5000
# **Crystal system**: tetragonal
# **Energy of formation**: -0.383 eV per atom


3.
# ZnCd2As, relaxed, DFT PBE-GGA
data_ZnCd2As
_cell_length_a 4.9219
_cell_length_b 4.9219
_cell_length_c 4.9219
_cell_angle_alpha 60.00
_cell_angle_beta 60.00
_cell_angle_gamma 60.00
_space_group_name_H-M_alt 'P 1'
_space_group_IT_number 1
loop_
_space_group_symop_operation_xyz
'x,y,z'
loop_
_atom_site_label
_atom_site_type_symbol
_atom_site_fract_x
_atom_site_fract_y
_atom_site_fract_z
As1 As 0.5000 0.5000 0.5000
Zn1 Zn 0.0000 0.0000 0.0000
Cd1 Cd 0.2500 0.2500 0.2500
Cd2 Cd 0.7500 0.7500 0.7500
# **Energy above the lowest structure with this stoichiometry**: 0.31 eV per formula unit
# **Crystal system**: cubic
# **Energy of formation**: 0.161 eV per atom


4.
# GaBiSe2N, relaxed, DFT PBE-GGA
data_GaBiSe2N
_cell_length_a 5.2344
_cell_length_b 5.2344
_cell_length_c 3.7779
_cell_angle_alpha 90.00
_cell_angle_beta 90.00
_cell_angle_gamma 90.00
_space_group_name_H-M_alt 'P 1'
_space_group_IT_number 1
loop_
_space_group_symop_operation_xyz
'x,y,z'
loop_
_atom_site_label
_atom_site_type_symbol
_atom_site_fract_x
_atom_site_fract_y
_atom_site_fract_z
Ga1 Ga 0.0000 0.0000 0.0000
Bi1 Bi 0.5000 0.5000 0.5000
Se1 Se 0.0000 0.5000 0.0000
Se2 Se 0.5000 0.0000 0.0000
N1 N 0.0000 0.0000 0.5000
# **Raw formation energy**: 0.399 eV/atom
# **Energy above the lowest structure with this stoichiometry**: 0.00 eV per formula unit
# **Crystal system**: tetragonal


5.
# Ta2BeCl, relaxed, DFT PBE-GGA
data_Ta2BeCl
_cell_length_a 5.5385
_cell_length_b 5.5385
_cell_length_c 5.5385
_cell_angle_alpha 149.79
_cell_angle_beta 131.74
_cell_angle_gamma 58.00
_space_group_name_H-M_alt 'P 1'
_space_group_IT_number 1
loop_
_space_group_symop_operation_xyz
'x,y,z'
loop_
_atom_site_label
_atom_site_type_symbol
_atom_site_fract_x
_atom_site_fract_y
_atom_site_fract_z
Be1 Be 0.5085 0.5085 0.0000
Cl1 Cl 0.2306 0.7306 0.5000
Ta1 Ta 0.0220 0.0220 0.0000
Ta2 Ta 0.7389 0.2389 0.5000
# **Raw formation energy**: 0.428 eV/atom
# **Energy above the lowest structure with this stoichiometry**: 1.31 eV per formula unit
# **Crystal system**: orthorhombic


6.
# Sc4CuRe, relaxed, DFT PBE-GGA
data_Sc4CuRe
_cell_length_a 5.4620
_cell_length_b 5.4620
_cell_length_c 5.4620
_cell_angle_alpha 60.00
_cell_angle_beta 60.00
_cell_angle_gamma 60.00
_space_group_name_H-M_alt 'P 1'
_space_group_IT_number 1
loop_
_space_group_symop_operation_xyz
'x,y,z'
loop_
_atom_site_label
_atom_site_type_symbol
_atom_site_fract_x
_atom_site_fract_y
_atom_site_fract_z
Sc1 Sc 0.8792 0.3736 0.3736
Sc2 Sc 0.3736 0.3736 0.8792
Sc3 Sc 0.3736 0.8792 0.3736
Sc4 Sc 0.3736 0.3736 0.3736
Cu1 Cu 0.7500 0.7500 0.7500
Re1 Re 0.0000 0.0000 0.0000
# **Crystal system**: cubic
# **Energy of formation**: 0.650 eV per atom


no.,spin magnetization (μB per cell)
1,0.0
2,0.0
3,0.0
4,1.4
5,0.0
6,0.0